Material: Sm6Pt2RhI3
Method: DFT, PBE
State: relaxed Values from VASP.

Results
SG ... No. 12
Crystal system ... monoclinic
Formation energy from raw total energies ... -1069 meV per atom

```
&SYSTEM
  ibrav = 0, nat = 12, ntyp = 4
/
ATOMIC_SPECIES
Sm 150.36 Sm.upf
Rh 102.91 Rh.upf
Pt 195.08 Pt.upf
I 126.90 I.upf
CELL_PARAMETERS angstrom
7.2813 -0.0006 0.0002
-3.6394 6.3065 0.0002
-1.2145 -2.1029 8.0168
ATOMIC_POSITIONS crystal
Sm 0.2653 0.2653 0.8148
Sm 0.3888 0.0616 0.1847
Sm 0.0616 0.3888 0.1847
Sm 0.7347 0.7347 0.1852
Sm 0.6112 0.9384 0.8153
Sm 0.9384 0.6112 0.8153
Rh 0.0000 0.0000 0.0000
Pt 0.3334 0.6666 0.0000
Pt 0.6666 0.3334 0.0000
I 0.8334 0.1666 0.5000
I 0.5000 0.5000 0.5000
I 0.1666 0.8334 0.5000
```

---

Material: NaZrNb2Fe
Method: DFT, PBE
State: relaxed Values from VASP.

Results
SG ... No. 123
Crystal system ... tetragonal
Energy ... -5.34 eV/atom

```
&SYSTEM
  ibrav = 0, nat = 5, ntyp = 4
/
ATOMIC_SPECIES
Nb 92.91 Nb.upf
Na 22.99 Na.upf
Zr 91.22 Zr.upf
Fe 55.84 Fe.upf
CELL_PARAMETERS angstrom
4.5897 0.0000 0.0000
0.0000 4.8912 0.0000
0.0000 0.0000 4.5897
ATOMIC_POSITIONS crystal
Nb 0.0000 0.0000 0.5000
Nb 0.5000 0.0000 0.0000
Na 0.0000 0.0000 0.0000
Zr 0.0000 0.5000 0.0000
Fe 0.5000 0.5000 0.5000
```

---

Material: Nd13In2
Method: DFT, PBE
State: relaxed Values from VASP.

Results
SG ... No. 2
Crystal system ... triclinic
Energy ... -4.59 eV/atom

```
&SYSTEM
  ibrav = 0, nat = 15, ntyp = 2
/
ATOMIC_SPECIES
Nd 144.24 Nd.upf
In 114.82 In.upf
CELL_PARAMETERS angstrom
-3.0629 0.6534 6.3237
4.3598 -7.3938 1.6801
4.1065 7.4994 3.3113
ATOMIC_POSITIONS crystal
Nd 0.6398 0.4153 0.6084
Nd 0.8764 0.4766 0.2648
Nd 0.3104 0.3450 0.9720
Nd 0.1990 0.7706 0.1546
Nd 0.1236 0.5234 0.7352
Nd 0.2624 0.0659 0.5869
Nd 0.0000 0.0000 0.0000
Nd 0.5065 0.1395 0.2051
Nd 0.6896 0.6550 0.0280
Nd 0.8010 0.2294 0.8454
Nd 0.7376 0.9341 0.4131
Nd 0.3602 0.5847 0.3916
Nd 0.4935 0.8605 0.7949
In 0.9414 0.7741 0.6174
In 0.0586 0.2259 0.3826
```

---

Material: NpPa2TlO8
Method: DFT, PBE
State: relaxed Values from VASP.

Results
SG ... No. 119
Crystal system ... tetragonal
Formation energy from raw total energies ... -2915 meV per atom

```
&SYSTEM
  ibrav = 0, nat = 12, ntyp = 4
/
ATOMIC_SPECIES
O 16.00 O.upf
Np 237.00 Np.upf
Pa 231.04 Pa.upf
Tl 204.38 Tl.upf
CELL_PARAMETERS angstrom
-3.2290 0.0024 4.4427
-4.2927 -1.4172 -3.1192
4.8982 -4.5637 0.1678
ATOMIC_POSITIONS crystal
O 0.8677 0.3985 0.2619
O 0.3942 0.3986 0.2620
O 0.6014 0.1322 0.7380
O 0.3942 0.8634 0.2619
O 0.1367 0.6058 0.7380
O 0.6015 0.6058 0.7381
O 0.8678 0.8633 0.2620
O 0.1366 0.1323 0.7381
Np 0.7500 0.2500 0.5000
Pa 0.2500 0.7500 0.5000
Pa 0.5000 0.5000 0.0000
Tl 0.0000 0.0000 0.0000
```

---

Material: NaTl3Hg12
Method: DFT, PBE
State: relaxed Values from VASP.

Results
SG ... No. 123
Crystal system ... tetragonal
Energy ... -0.81 eV/atom

```
&SYSTEM
  ibrav = 0, nat = 16, ntyp = 3
/
ATOMIC_SPECIES
Hg 200.59 Hg.upf
Tl 204.38 Tl.upf
Na 22.99 Na.upf
CELL_PARAMETERS angstrom
-2.0984 -3.7478 -1.6106
3.1148 -0.3026 -3.3541
12.0695 -12.0413 12.2946
ATOMIC_POSITIONS crystal
Hg 0.5000 0.0000 0.8828
Hg 0.5000 0.0000 0.6275
Hg 0.5000 0.5000 0.2375
Hg 0.5000 0.5000 0.7625
Hg 0.5000 0.5000 0.5000
Hg 0.5000 0.5000 0.0000
Hg 0.5000 0.0000 0.1172
Hg 0.0000 0.5000 0.1172
Hg 0.0000 0.5000 0.8828
Hg 0.5000 0.0000 0.3725
Hg 0.0000 0.5000 0.6275
Hg 0.0000 0.5000 0.3725
Tl 0.0000 0.0000 0.5000
Tl 0.0000 0.0000 0.2521
Tl 0.0000 0.0000 0.7479
Na 0.0000 0.0000 0.0000
```

---

Material: K3Rb3Cd2
Method: DFT, PBE
State: relaxed Values from VASP.

Results
SG ... No. 2
Crystal system ... triclinic
Energy ... -1.02 eV/atom

```
&SYSTEM
  ibrav = 0, nat = 8, ntyp = 3
/
ATOMIC_SPECIES
Cd 112.41 Cd.upf
Rb 85.47 Rb.upf
K 39.10 K.upf
CELL_PARAMETERS angstrom
5.2353 -0.0030 0.9301
-0.2436 7.2523 1.3616
0.3657 -0.7081 13.2194
ATOMIC_POSITIONS crystal
Cd 0.7612 0.9136 0.4776
Cd 0.2388 0.0864 0.5224
Rb 0.0000 0.0000 0.0000
Rb 0.1782 0.5864 0.6416
Rb 0.8218 0.4136 0.3584
K 0.3617 0.9188 0.2782
K 0.5000 0.5000 0.0000
K 0.6383 0.0812 0.7218
```

---

Material: LiThGe2Pd2
Method: DFT, PBE
State: relaxed Values from VASP.

Results
SG ... No. 164
Crystal system ... trigonal
Energy ... -5.57 eV/atom

```
&SYSTEM
  ibrav = 0, nat = 6, ntyp = 4
/
ATOMIC_SPECIES
Li 6.94 Li.upf
Ge 72.64 Ge.upf
Th 232.04 Th.upf
Pd 106.42 Pd.upf
CELL_PARAMETERS angstrom
4.3005 0.0000 0.0000
-2.1503 3.7244 0.0000
0.0000 0.0000 6.8386
ATOMIC_POSITIONS crystal
Li 0.0000 0.0000 0.5000
Ge 0.3333 0.6667 0.2658
Ge 0.6667 0.3333 0.7342
Th 0.0000 0.0000 0.0000
Pd 0.6667 0.3333 0.3590
Pd 0.3333 0.6667 0.6410
```

---

Material: Ca2ScGa4Pt3
Method: DFT, PBE
State: relaxed Values from VASP.

Results
SG ... No. 115
Crystal system ... tetragonal
Energy ... -4.86 eV/atom

```
&SYSTEM
  ibrav = 0, nat = 10, ntyp = 4
/
ATOMIC_SPECIES
Ga 69.72 Ga.upf
Pt 195.08 Pt.upf
Sc 44.96 Sc.upf
Ca 40.08 Ca.upf
CELL_PARAMETERS angstrom
-3.8201 1.4985 0.2803
-0.0133 -0.7890 4.0366
4.3740 10.7543 2.1166
ATOMIC_POSITIONS crystal
Ga 0.0000 0.5000 0.3431
Ga 0.5000 0.0000 0.6569
Ga 0.0000 0.0000 0.0000
Ga 0.5000 0.5000 0.0000
Pt 0.0000 0.0000 0.5000
Pt 0.0000 0.5000 0.1304
Pt 0.5000 0.0000 0.8696
Sc 0.5000 0.5000 0.5000
Ca 0.5000 0.0000 0.2372
Ca 0.0000 0.5000 0.7628
```

---

Material: SrNd2Er
Method: DFT, PBE
State: relaxed Values from VASP.

Results
SG ... No. 166
Crystal system ... trigonal
Energy ... -3.76 eV/atom

```
&SYSTEM
  ibrav = 0, nat = 4, ntyp = 3
/
ATOMIC_SPECIES
Nd 144.24 Nd.upf
Sr 87.62 Sr.upf
Er 167.26 Er.upf
CELL_PARAMETERS angstrom
3.6608 0.0000 0.0000
1.8304 3.1703 0.0000
1.8304 1.0568 13.0737
ATOMIC_POSITIONS crystal
Nd 0.9062 0.9062 0.2815
Nd 0.0938 0.0938 0.7185
Sr 0.0000 0.0000 0.0000
Er 0.5000 0.5000 0.5000
```

---

Material: LiPm3B2O8
Method: DFT, PBE
State: relaxed Values from VASP.

Results
SG ... No. 164
Crystal system ... trigonal
Formation energy from raw total energies ... -2964 meV per atom

```
&SYSTEM
  ibrav = 0, nat = 14, ntyp = 4
/
ATOMIC_SPECIES
Pm 145.00 Pm.upf
O 16.00 O.upf
B 10.81 B.upf
Li 6.94 Li.upf
CELL_PARAMETERS angstrom
5.1309 0.0000 0.0000
-2.5654 4.4435 0.0000
0.0000 0.0000 6.4772
ATOMIC_POSITIONS crystal
Pm 0.3333 0.6667 0.6519
Pm 0.0000 0.0000 0.0000
Pm 0.6667 0.3333 0.3481
O 0.3559 0.1779 0.6972
O 0.1779 0.3559 0.3028
O 0.1779 0.8221 0.3028
O 0.3333 0.6667 0.9904
O 0.6667 0.3333 0.0096
O 0.8221 0.1779 0.6972
O 0.6441 0.8221 0.3028
O 0.8221 0.6441 0.6972
B 0.3333 0.6667 0.2139
B 0.6667 0.3333 0.7861
Li 0.0000 0.0000 0.5000
```